A geometry-optimized Sc2HgSe structure. Source: Alexandria via LeMat-Bulk, functional GGA-PBE.

**Formation energy without anion corrections**: -0.777 eV per atom

Lattice parameters (Å, degrees): 3.3769 3.3769 7.3012 90.00 90.00 90.00
With the nearest neighbours (Å) after each atom.
Space group P4/mmm (No. 123)
One atom of each set of equivalent atoms:
1 Sc 0.0000 0.0000 0.2286 (multiplicity 2)  4 Se 2.91, 4 Hg 3.10
2 Hg 0.5000 0.5000 0.5000 (multiplicity 1)  8 Sc 3.10, 4 Hg 3.38
3 Se 0.5000 0.5000 0.0000 (multiplicity 1)  8 Sc 2.91

---

A geometry-optimized Tb2Pm5Pr3 structure. Source: Alexandria via LeMat-Bulk, functional GGA-PBE.

**DFT formation energy**: 0.1779 eV per atom

Lattice parameters (Å, degrees): 10.9743 15.2554 9.9724 90.00 123.14 90.00
With the nearest neighbours (Å) after each atom.
Space group C2/c (No. 15)
One atom of each set of equivalent atoms:
1 Tb 0.1563 0.1228 0.0513 (multiplicity 8)  3 Pr 3.30-3.55, 5 Pm 3.39-3.63
2 Pm 0.0000 0.0262 0.2500 (multiplicity 4)  1 Pm 3.08, 2 Tb 3.39
3 Pm 0.0000 0.2282 0.2500 (multiplicity 4)  1 Pm 3.08, 2 Pr 3.38
4 Pm 0.0000 0.4803 0.7500 (multiplicity 4)  5 Pr 3.20-3.54, 2 Pm 3.52, 2 Tb 3.53
5 Pm 0.2356 0.1224 0.7263 (multiplicity 8)  3 Pm 3.52-3.59, 3 Pr 3.54-3.86, 2 Tb 3.63-3.79
6 Pr 0.0000 0.2704 0.7500 (multiplicity 4)  3 Pm 3.20-3.54, 4 Tb 3.38-3.55, 2 Pr 3.52
7 Pr 0.1470 0.3743 0.5535 (multiplicity 8)  1 Tb 3.30, 6 Pm 3.37-3.66, 1 Pr 3.52

---

A geometry-optimized Ti2V3Se8 structure. Source: Alexandria via LeMat-Bulk, functional GGA-PBE.

**Formation energy without anion corrections**: -0.766 eV per atom

Lattice parameters (Å, degrees): 12.8697 7.2513 6.3274 90.00 108.38 90.00
With the nearest neighbours (Å) after each atom.
Space group C2/m (No. 12)
One atom of each set of equivalent atoms:
1 Ti 0.2387 0.0000 0.3143 (multiplicity 4)  6 Se 2.55-2.76
2 V 0.0000 0.0000 0.5000 (multiplicity 2)  6 Se 2.55-2.57
3 V 0.0000 0.2792 0.0000 (multiplicity 4)  6 Se 2.44-2.61
4 Se 0.1078 0.0000 0.9144 (multiplicity 4)  3 V 2.55-2.61, 1 Ti 2.56
5 Se 0.1173 0.5000 0.8910 (multiplicity 4)  2 V 2.44, 1 Ti 2.58
6 Se 0.1214 0.2500 0.4096 (multiplicity 8)  2 Ti 2.55-2.76, 2 V 2.57-2.58